TcB4Os | PBE | optimized geometry

The magnetization is 0.01 μB per cell. The mass density comes out at 10.51 g cm⁻³. Its total energy is -7.8242 eV/atom. For the excess energy over the best structure of this formula in the dataset, the calculation gives 586 meV per atom. The volume is 8.73 Å³/atom.

The space group is Immm (No. 71) and the conventional cell measures 2.973, 5.139 and 6.859 Å, with angles of 90.00, 90.00 and 90.00 degrees. Symmetry generates all atoms from Tc at (0.000, 0.000, 0.000), B at (0.000, 0.333, 0.253) and Os at (0.000, 0.000, 0.500).